DFT (SCAN) results for a PBEsol-optimized structure of Sc2MnTlTe.

Values from the calculation:
Raw formation energy (kJ per mole of atoms): 62.7
N(E_F) (states/eV/cell): 4.5
Volume (Å³/cell): 161
E (eV per atom): -30.62

Cell lengths 5.2987, 5.2987, 5.7388 Å; angles 90.00, 90.00, 90.00 degrees
Fractional coordinates of all 5 atoms:
Sc: 0.0000 0.5000 0.0000
Sc: 0.5000 0.0000 0.0000
Mn: 0.0000 0.0000 0.5000
Tl: 0.5000 0.5000 0.0000
Te: 0.5000 0.5000 0.5000